Entry 1:
Computed, not measured: a geometry-optimized CaTlBi2Mo structure at the PBE-GGA level of DFT.

It has space group P4/mmm (No. 123), with a = 5.4057 Å, b = 5.4057 Å, c = 5.7128 Å, α = 90.00°, β = 90.00° and γ = 90.00°. The distinct sites, in fractional coordinates, are Ca at (0.0000, 0.0000, 0.0000), Tl at (0.5000, 0.5000, 0.0000), Bi at (0.0000, 0.5000, 0.5000) and Mo at (0.0000, 0.0000, 0.5000).

The calculation puts the density of states at the Fermi level at 1.174 states/eV per atom. Its formation energy is 162 kJ/mol of formula units.

Entry 2:
Computed, not measured: a geometry-optimized Ca6Bi2N structure at the PBE-GGA level of DFT.

It has space group Amm2 (No. 38), with a = 3.8917 Å, b = 15.2772 Å, c = 9.3422 Å, α = 90.00°, β = 90.00° and γ = 90.00°. The distinct sites, in fractional coordinates, are Ca at (0.0000, 0.0000, 0.0000), Ca at (0.0000, 0.0984, 0.6212), Ca at (0.5000, 0.0000, 0.3359), Ca at (0.5000, 0.2071, 0.9565), Bi at (0.0000, 0.1744, 0.2449) and N at (0.5000, 0.0000, 0.5773).

The value obtained for the raw formation energy is -0.53 eV/atom. The calculation puts the density of states at the Fermi level at 0.527 states/eV per atom.

Entry 3:
Computed, not measured: a geometry-optimized Ca7BiN2 structure at the PBE-GGA level of DFT.

It has space group Cmmm (No. 65), with a = 9.6392 Å, b = 12.6629 Å, c = 4.6794 Å, α = 90.00°, β = 90.00° and γ = 90.00°. The distinct sites, in fractional coordinates, are Ca at (0.0000, 0.0000, 0.0000), Ca at (0.0000, 0.2012, 0.5000), Ca at (0.1682, 0.3579, 0.0000), Bi at (0.0000, 0.5000, 0.5000) and N at (0.0000, 0.2211, 0.0000).

The value obtained for the raw formation energy is -0.42 eV/atom. The calculation puts the density of states at the Fermi level at 0.429 states/eV per atom.

Entry 4:
Computed, not measured: a geometry-optimized Ca2BiN structure at the PBE-GGA level of DFT.

It has space group I-42d (No. 122), with a = 7.1516 Å, b = 7.1516 Å, c = 8.4634 Å, α = 90.00°, β = 90.00° and γ = 90.00°. The distinct sites, in fractional coordinates, are Ca at (0.1271, 0.7500, 0.1250), Bi at (0.0000, 0.0000, 0.5000) and N at (0.0000, 0.0000, 0.0000).

The value obtained for the raw formation energy is -0.46 eV/atom. The calculation puts the density of states at the Fermi level at 0.205 states/eV per atom. As for the offset from the most stable computed form: 0.229 eV per atom.

Entry 5:
Computed, not measured: a geometry-optimized CaBiN2 structure at the PBE-GGA level of DFT.

It has space group P-1 (No. 2), with a = 4.6940 Å, b = 6.3285 Å, c = 6.5365 Å, α = 86.46°, β = 68.97° and γ = 89.91°. The distinct sites, in fractional coordinates, are Ca at (0.1456, 0.2665, 0.2085), Bi at (0.5000, 0.0000, 0.5000), Bi at (0.5000, 0.5000, 0.5000), N at (0.0846, 0.6929, 0.0853) and N at (0.3315, 0.6925, 0.0864).

The value obtained for the raw formation energy is -0.18 eV/atom. The calculation puts the density of states at the Fermi level at 0.321 states/eV per atom.

Entry 6:
Computed, not measured: a geometry-optimized Ca4BiN2 structure at the PBE-GGA level of DFT.

It has space group Cmcm (No. 63), with a = 3.6759 Å, b = 12.6983 Å, c = 13.1919 Å, α = 90.00°, β = 90.00° and γ = 90.00°. The distinct sites, in fractional coordinates, are Ca at (0.0000, 0.0000, 0.0000), Ca at (0.0000, 0.2581, 0.0909), Ca at (0.0000, 0.4077, 0.7500), Bi at (0.0000, 0.1114, 0.7500) and N at (0.0000, 0.3619, 0.5660).

The value obtained for the raw formation energy is -0.73 eV/atom. The calculation puts the density of states at the Fermi level at 1.159 states/eV per atom.

Entry 7:
Computed, not measured: a geometry-optimized Ca2BiN structure at the PBE-GGA level of DFT.

It has space group Fm-3m (No. 225), with a = 7.3578 Å, b = 7.3578 Å, c = 7.3578 Å, α = 90.00°, β = 90.00° and γ = 90.00°. The distinct sites, in fractional coordinates, are Ca at (0.2500, 0.2500, 0.2500), Bi at (0.0000, 0.0000, 0.0000) and N at (0.0000, 0.0000, 0.5000).

The value obtained for the raw formation energy is 0.13 eV/atom. The calculation puts the density of states at the Fermi level at 0.401 states/eV per atom. As for the offset from the most stable computed form: 0.824 eV per atom.

Entry 8:
Computed, not measured: a geometry-optimized Ca4BiN structure at the PBE-GGA level of DFT.

It has space group C2/m (No. 12), with a = 17.8790 Å, b = 6.9166 Å, c = 5.8864 Å, α = 90.00°, β = 107.76° and γ = 90.00°. The distinct sites, in fractional coordinates, are Ca at (0.0000, 0.2247, 0.0000), Ca at (0.1175, 0.2363, 0.6574), Ca at (0.1908, 0.0000, 0.1897), Bi at (0.1884, 0.5000, 0.1971) and N at (0.0799, 0.0000, 0.8719).

The value obtained for the raw formation energy is -0.65 eV/atom. The calculation puts the density of states at the Fermi level at 0.178 states/eV per atom.

Entry 9:
Computed, not measured: a geometry-optimized Ca2BiN structure at the PBE-GGA level of DFT.

It has space group R-3m (No. 166, hexagonal axes), with a = 3.6109 Å, b = 3.6109 Å, c = 26.9985 Å, α = 90.00°, β = 90.00° and γ = 120.00°. The distinct sites, in fractional coordinates, are Ca at (0.0000, 0.0000, 0.1206), Bi at (0.0000, 0.0000, 0.0000) and N at (0.0000, 0.0000, 0.5000).

The value obtained for the raw formation energy is -0.69 eV/atom. The calculation puts the density of states at the Fermi level at 0.238 states/eV per atom. As for the offset from the most stable computed form: 0.000 eV per atom.

Entry 10:
Computed, not measured: a geometry-optimized Ca5Bi2N2 structure at the PBE-GGA level of DFT.

It has space group C2/m (No. 12), with a = 12.2704 Å, b = 4.8158 Å, c = 7.8496 Å, α = 90.00°, β = 90.32° and γ = 90.00°. The distinct sites, in fractional coordinates, are Ca at (0.0000, 0.0000, 0.0000), Ca at (0.1321, 0.0000, 0.3960), Ca at (0.2197, 0.5000, 0.1236), Bi at (0.0879, 0.5000, 0.6710) and N at (0.1725, 0.0000, 0.1181).

The value obtained for the raw formation energy is -0.78 eV/atom. The calculation puts the density of states at the Fermi level at 0.031 states/eV per atom.

Entry 11:
Computed, not measured: a geometry-optimized Ca3Bi2N4 structure at the PBE-GGA level of DFT.

It has space group C2/c (No. 15), with a = 11.0160 Å, b = 11.8813 Å, c = 5.3024 Å, α = 90.00°, β = 99.44° and γ = 90.00°. The distinct sites, in fractional coordinates, are Ca at (0.0000, 0.1866, 0.2500), Ca at (0.1096, 0.4076, 0.5632), Bi at (0.1887, 0.1044, 0.8405), N at (0.1081, 0.3874, 0.0751) and N at (0.1720, 0.0820, 0.4133).

The value obtained for the raw formation energy is -0.26 eV/atom.

Entry 12:
Computed, not measured: a geometry-optimized Ca6BiN2 structure at the PBE-GGA level of DFT.

It has space group Fd-3m (No. 227, origin choice 2), with a = 12.6328 Å, b = 12.6328 Å, c = 12.6328 Å, α = 90.00°, β = 90.00° and γ = 90.00°. The distinct sites, in fractional coordinates, are Ca at (0.0743, 0.3750, 0.3750), Bi at (0.1250, 0.1250, 0.6250) and N at (0.0000, 0.0000, 0.0000).

The value obtained for the raw formation energy is -0.43 eV/atom. The calculation puts the density of states at the Fermi level at 0.656 states/eV per atom.

Entry 13:
Computed, not measured: a geometry-optimized Ca7Bi4N structure at the PBE-GGA level of DFT.

It has space group C2/m (No. 12), with a = 17.0756 Å, b = 5.1396 Å, c = 11.8389 Å, α = 90.00°, β = 129.64° and γ = 90.00°. The distinct sites, in fractional coordinates, are Ca at (0.0000, 0.0000, 0.0000), Ca at (0.0593, 0.5000, 0.2324), Ca at (0.1372, 0.0000, 0.5440), Ca at (0.2240, 0.5000, 0.8620), Bi at (0.0849, 0.0000, 0.7819), Bi at (0.2215, 0.0000, 0.3460) and N at (0.0000, 0.5000, 0.0000).

The value obtained for the raw formation energy is -0.71 eV/atom. The calculation puts the density of states at the Fermi level at 0.524 states/eV per atom.

Entry 14:
Computed, not measured: a geometry-optimized CaBiN2 structure at the PBE-GGA level of DFT.

It has space group R-3m (No. 166, hexagonal axes), with a = 3.8025 Å, b = 3.8025 Å, c = 19.2457 Å, α = 90.00°, β = 90.00° and γ = 120.00°. The distinct sites, in fractional coordinates, are Ca at (0.0000, 0.0000, 0.0000), Bi at (0.0000, 0.0000, 0.5000) and N at (0.0000, 0.0000, 0.3925).

The value obtained for the raw formation energy is 0.47 eV/atom. The calculation puts the density of states at the Fermi level at 1.064 states/eV per atom.

Entry 15:
Computed, not measured: a geometry-optimized Ca2BiN3 structure at the PBE-GGA level of DFT.

It has space group Cmce (No. 64), with a = 5.9516 Å, b = 11.7228 Å, c = 11.6770 Å, α = 90.00°, β = 90.00° and γ = 90.00°. The distinct sites, in fractional coordinates, are Ca at (0.0000, 0.0247, 0.1471), Ca at (0.0000, 0.1255, 0.5815), Bi at (0.0000, 0.2455, 0.3465), N at (0.0000, 0.0654, 0.3560), N at (0.0000, 0.1523, 0.9954) and N at (0.2500, 0.1604, 0.7500).

The value obtained for the raw formation energy is -0.08 eV/atom. The calculation puts the density of states at the Fermi level at 0.031 states/eV per atom.

Entry 16:
Computed, not measured: a geometry-optimized Ca5Bi2N structure at the PBE-GGA level of DFT.

It has space group Cmcm (No. 63), with a = 5.8351 Å, b = 14.8536 Å, c = 13.5879 Å, α = 90.00°, β = 90.00° and γ = 90.00°. The distinct sites, in fractional coordinates, are Ca at (0.0000, 0.0612, 0.1296), Ca at (0.0000, 0.2864, 0.1136), Ca at (0.0000, 0.2997, 0.7500), Bi at (0.0000, 0.1479, 0.5802) and N at (0.0000, 0.1780, 0.2500).

The value obtained for the raw formation energy is -0.59 eV/atom. The calculation puts the density of states at the Fermi level at 0.221 states/eV per atom.

Entry 17:
Computed, not measured: a geometry-optimized Ca3Bi2N structure at the PBE-GGA level of DFT.

It has space group R-3m (No. 166, hexagonal axes), with a = 7.3082 Å, b = 7.3082 Å, c = 10.6801 Å, α = 90.00°, β = 90.00° and γ = 120.00°. The distinct sites, in fractional coordinates, are Ca at (0.0000, 0.5000, 0.0000), Bi at (0.0000, 0.0000, 0.1294) and N at (0.0000, 0.0000, 0.5000).

The value obtained for the raw formation energy is -0.33 eV/atom. The calculation puts the density of states at the Fermi level at 0.406 states/eV per atom.

Entry 18:
Computed, not measured: a geometry-optimized Ca6Bi3N structure at the PBE-GGA level of DFT.

It has space group P2_1/c (No. 14), with a = 7.4738 Å, b = 7.7511 Å, c = 13.0134 Å, α = 90.00°, β = 125.01° and γ = 90.00°. The distinct sites, in fractional coordinates, are Ca at (0.1209, 0.2255, 0.4520), Ca at (0.2297, 0.6731, 0.4552), Ca at (0.3111, 0.0313, 0.2218), Bi at (0.2361, 0.0576, 0.7505), Bi at (0.5000, 0.0000, 0.5000) and N at (0.0000, 0.0000, 0.0000).

The value obtained for the raw formation energy is -0.81 eV/atom. The calculation puts the density of states at the Fermi level at 0.009 states/eV per atom.

Entry 19:
Computed, not measured: a geometry-optimized Ca7Bi2N2 structure at the PBE-GGA level of DFT.

It has space group C2/m (No. 12), with a = 9.9171 Å, b = 11.0357 Å, c = 6.8013 Å, α = 90.00°, β = 97.97° and γ = 90.00°. The distinct sites, in fractional coordinates, are Ca at (0.0000, 0.0000, 0.0000), Ca at (0.1288, 0.5000, 0.7635), Ca at (0.2326, 0.3390, 0.2285), Bi at (0.0000, 0.2610, 0.5000) and N at (0.2297, 0.0000, 0.9545).

The value obtained for the raw formation energy is -0.62 eV/atom. The calculation puts the density of states at the Fermi level at 0.495 states/eV per atom.

Entry 20:
Computed, not measured: a geometry-optimized Ca3BiN structure at the PBE-GGA level of DFT.

It has space group Pm-3m (No. 221), with a = 4.9195 Å, b = 4.9195 Å, c = 4.9195 Å, α = 90.00°, β = 90.00° and γ = 90.00°. The distinct sites, in fractional coordinates, are Ca at (0.0000, 0.0000, 0.5000), Bi at (0.5000, 0.5000, 0.5000) and N at (0.0000, 0.0000, 0.0000).

The value obtained for the raw formation energy is -1.02 eV/atom. The calculation puts the density of states at the Fermi level at 0.000 states/eV per atom.

Entry 21:
Computed, not measured: a geometry-optimized Ca3BiN structure at the PBE-GGA level of DFT.

It has space group Pm-3m (No. 221), with a = 5.8491 Å, b = 5.8491 Å, c = 5.8491 Å, α = 90.00°, β = 90.00° and γ = 90.00°. The distinct sites, in fractional coordinates, are Ca at (0.0000, 0.0000, 0.5000), Bi at (0.0000, 0.0000, 0.0000) and N at (0.5000, 0.5000, 0.5000).

The value obtained for the raw formation energy is 0.73 eV/atom. The calculation puts the density of states at the Fermi level at 0.047 states/eV per atom.

Entry 22:
Computed, not measured: a geometry-optimized CaBiN2 structure at the PBE-GGA level of DFT.

It has space group R-3m (No. 166, hexagonal axes), with a = 3.5590 Å, b = 3.5590 Å, c = 20.7968 Å, α = 90.00°, β = 90.00° and γ = 120.00°. The distinct sites, in fractional coordinates, are Ca at (0.0000, 0.0000, 0.0000), Bi at (0.0000, 0.0000, 0.5000) and N at (0.0000, 0.0000, 0.1096).

The value obtained for the raw formation energy is 0.63 eV/atom. The calculation puts the density of states at the Fermi level at 0.563 states/eV per atom.

Total magnetic moment in Bohr magnetons per cell, matching the order above: 0.01 1.55 2.18 0.00 0.00 0.84 7.99 3.83 0.00 0.00 0.00 5.23 1.16 0.00 0.00 3.38 0.00 0.00 0.00 0.00 0.00 0.00